La2ZrGe3Pt4: optimized geometry, PBE.

abc: 4.3942 4.3942 10.6741
angles: 90.00 90.00 90.00
Last column: nearest neighbours and their distance in Å.
Space group P-4m2 (No. 115)
Asymmetric unit:
La1 0.0000 0.5000 0.2357  6 Ge 3.33-3.58, 8 Pt 3.34-3.36, 2 Zr 3.58
Zr1 0.0000 0.0000 0.5000  4 Pt 2.68
Ge1 0.0000 0.5000 0.8753  5 Pt 2.47-2.57
Ge2 0.5000 0.5000 0.5000  4 Pt 2.68
Pt1 0.0000 0.0000 0.0000  4 Ge 2.57
Pt2 0.0000 0.5000 0.6437  3 Ge 2.47-2.68, 2 Zr 2.68
Pt3 0.5000 0.5000 0.0000  4 Ge 2.57

Properties
Spin magnetization ... 0.0 μB per formula unit
Calculated density ... 11.02 Mg/m³
Total DFT energy (no corrections) ... -6.623 eV per atom

***

La2ZrGe4Pt3: optimized geometry, PBE.

abc: 4.3415 4.3415 10.9766
angles: 90.00 90.00 90.00
Last column: nearest neighbours and their distance in Å.
Space group P-4m2 (No. 115)
Asymmetric unit:
La1 0.0000 0.5000 0.2349  6 Pt 3.32-3.63, 8 Ge 3.32-3.37, 2 Zr 3.63
Zr1 0.0000 0.0000 0.5000  4 Ge 2.72
Ge1 0.0000 0.0000 0.0000  4 Pt 2.54
Ge2 0.0000 0.5000 0.6490  3 Pt 2.53-2.72, 2 Zr 2.72
Ge3 0.5000 0.5000 0.0000  4 Pt 2.54
Pt1 0.0000 0.5000 0.8798  5 Ge 2.53-2.54
Pt2 0.5000 0.5000 0.5000  4 Ge 2.72

Properties
Spin magnetization ... 0.0 μB per formula unit
Calculated density ... 9.99 Mg/m³
Total DFT energy (no corrections) ... -6.464 eV per atom

***

La5PuGe4: optimized geometry, PBE.

abc: 15.9581 5.2541 7.1248
angles: 90.00 90.39 90.00
Last column: nearest neighbours and their distance in Å.
Space group C2/m (No. 12)
Asymmetric unit:
La1 0.0000 0.0000 0.0000  6 Ge 3.21-3.33, 2 Pu 3.56
La2 0.1643 0.5000 0.5118  5 Ge 3.06-3.22
La3 0.1637 0.5000 0.9937  5 Ge 3.12-3.28, 1 La 3.43
Pu1 0.0000 0.0000 0.5000  6 Ge 3.14-3.32
Ge1 0.0087 0.5000 0.2586  6 La 3.06-3.28, 2 Pu 3.14
Ge2 0.1760 0.0000 0.7506  7 La 3.13-3.33, 1 Pu 3.32

Properties
Spin magnetization ... 5.9 μB per formula unit
Calculated density ... 6.83 Mg/m³
Total DFT energy (no corrections) ... -6.318 eV per atom

***

> Among the records above, which one has the highest total DFT energy (no corrections)?

La5PuGe4

***

Please write out number 2 again, unchanged.
La2ZrGe4Pt3: optimized geometry, PBE.

abc: 4.3415 4.3415 10.9766
angles: 90.00 90.00 90.00
Last column: nearest neighbours and their distance in Å.
Space group P-4m2 (No. 115)
Asymmetric unit:
La1 0.0000 0.5000 0.2349  6 Pt 3.32-3.63, 8 Ge 3.32-3.37, 2 Zr 3.63
Zr1 0.0000 0.0000 0.5000  4 Ge 2.72
Ge1 0.0000 0.0000 0.0000  4 Pt 2.54
Ge2 0.0000 0.5000 0.6490  3 Pt 2.53-2.72, 2 Zr 2.72
Ge3 0.5000 0.5000 0.0000  4 Pt 2.54
Pt1 0.0000 0.5000 0.8798  5 Ge 2.53-2.54
Pt2 0.5000 0.5000 0.5000  4 Ge 2.72

Properties
Spin magnetization ... 0.0 μB per formula unit
Calculated density ... 9.99 Mg/m³
Total DFT energy (no corrections) ... -6.464 eV per atom